Compound: AcTbZnAg
Source: Alexandria
Functional: PBE
Structure: relaxed

Computed properties:
Formation enthalpy at 0 K: -92 kJ/mol of formula units
Size of the total moment: 0.0 Bohr magnetons per cell
DFT total energy: -3.455 eV/atom
Offset from the most stable computed form: 0.15 eV/f.u.

Cell: 5.365 5.365 5.365 Å, 60.00 60.00 60.00°
Element x y z (fractional)
Ac (0.000, 0.000, 0.000)
Tb (0.500, 0.500, 0.500)
Zn (0.250, 0.250, 0.250)
Ag (0.750, 0.750, 0.750)

***

Compound: LiSmErAg
Source: Alexandria
Functional: PBE
Structure: relaxed

Computed properties:
Formation enthalpy at 0 K: -32 kJ/mol of formula units
Size of the total moment: 0.0 Bohr magnetons per cell
DFT total energy: -3.596 eV/atom

Cell: 5.197 5.197 5.197 Å, 60.00 60.00 60.00°
Element x y z (fractional)
Li (0.000, 0.000, 0.000)
Sm (0.250, 0.250, 0.250)
Er (0.750, 0.750, 0.750)
Ag (0.500, 0.500, 0.500)

***

Compound: Sr6AsP2Br3
Source: Alexandria
Functional: PBE
Structure: relaxed

Computed properties:
Size of the total moment: 0.0 Bohr magnetons per cell
ΔE_f (raw): -1578 meV/atom
DFT total energy: -4.126 eV/atom

Cell: 7.808 7.808 7.927 Å, 99.44 99.44 120.01°
Element x y z (fractional)
Sr (0.092, 0.431, 0.792)
Sr (0.231, 0.231, 0.209)
Sr (0.431, 0.092, 0.792)
Sr (0.569, 0.908, 0.208)
Sr (0.769, 0.769, 0.791)
Sr (0.908, 0.569, 0.208)
As (0.500, 0.500, 0.000)
P (0.167, 0.833, 0.000)
P (0.833, 0.167, 0.000)
Br (0.000, 0.000, 0.500)
Br (0.333, 0.667, 0.500)
Br (0.667, 0.333, 0.500)

***

Compound: TlTeIN2
Source: Alexandria
Functional: PBE
Structure: relaxed

Computed properties:
Size of the total moment: 3.8 Bohr magnetons per cell
ΔE_f (raw): 1677 meV/atom
DFT total energy: -3.065 eV/atom
Offset from the most stable computed form: 2.21 eV/f.u.

Cell: 4.584 4.584 6.477 Å, 90.00 90.00 90.00°
Element x y z (fractional)
Tl (0.000, 0.000, 0.000)
Te (0.000, 0.000, 0.500)
I (0.500, 0.500, 0.500)
N (0.000, 0.500, 0.000)
N (0.500, 0.000, 0.000)

***

Compound: BeCu2Si
Source: Alexandria
Functional: PBE
Structure: relaxed

Computed properties:
Size of the total moment: 0.0 Bohr magnetons per cell
ΔE_f (raw): 56 meV/atom
DFT total energy: -4.279 eV/atom

Cell: 4.313 4.313 4.033 Å, 103.91 103.91 39.18°
Element x y z (fractional)
Be (0.000, 0.000, 0.000)
Cu (0.259, 0.259, 0.804)
Cu (0.497, 0.497, 0.497)
Si (0.747, 0.747, 0.281)

***

Compound: CdAsW2
Source: Alexandria
Functional: PBE
Structure: relaxed

Computed properties:
Formation enthalpy at 0 K: 130 kJ/mol of formula units
Size of the total moment: 0.0 Bohr magnetons per cell
DFT total energy: -7.532 eV/atom
Offset from the most stable computed form: 0.00 eV/f.u.

Cell: 2.818 2.818 10.386 Å, 90.00 90.00 109.45°
Element x y z (fractional)
Cd (0.000, 0.000, 0.000)
As (0.500, 0.500, 0.350)
W (0.000, 0.000, 0.554)
W (0.500, 0.500, 0.759)

***

Compound: PmEuLuIn
Source: Alexandria
Functional: PBE
Structure: relaxed

Computed properties:
Formation enthalpy at 0 K: -21 kJ/mol of formula units
Size of the total moment: 7.9 Bohr magnetons per cell
DFT total energy: -5.626 eV/atom

Cell: 5.547 5.547 5.547 Å, 60.00 60.00 60.00°
Element x y z (fractional)
Pm (0.000, 0.000, 0.000)
Eu (0.250, 0.250, 0.250)
Lu (0.750, 0.750, 0.750)
In (0.500, 0.500, 0.500)

***

Compound: La4SbP2Se
Source: Alexandria
Functional: PBE
Structure: relaxed

Computed properties:
Size of the total moment: 0.0 Bohr magnetons per cell
ΔE_f (raw): -1639 meV/atom
DFT total energy: -6.406 eV/atom

Cell: 7.542 4.359 7.630 Å, 90.00 109.22 90.00°
Element x y z (fractional)
La (0.240, 0.000, 0.231)
La (0.253, 0.500, 0.768)
La (0.747, 0.500, 0.232)
La (0.760, 0.000, 0.769)
Sb (0.500, 0.500, 0.500)
P (0.000, 0.500, 0.000)
P (0.500, 0.000, 0.000)
Se (0.000, 0.000, 0.500)